The following is a DFT calculation (PBE) of a relaxed GeH2Br6 crystal.

Output
- final energy (eV for the cell shown) = -50.6
- Fermi-level density of states (states/eV per atom) = 0.0000

Cell and atoms, written as POSCAR:
```
GeH2Br6
1.0
9.593 -6.302 0.000
9.593 6.302 0.000
-1.742 0.000 5.615
Ge H Br
2 4 12
Direct
0.244 0.756 0.750 Ge
0.756 0.244 0.250 Ge
0.232 0.279 0.689 H
0.279 0.232 0.189 H
0.721 0.768 0.811 H
0.768 0.721 0.311 H
0.064 0.789 0.900 Br
0.158 0.353 0.882 Br
0.211 0.936 0.600 Br
0.278 0.578 0.454 Br
0.353 0.158 0.382 Br
0.422 0.722 0.046 Br
0.578 0.278 0.954 Br
0.647 0.842 0.618 Br
0.722 0.422 0.546 Br
0.789 0.064 0.400 Br
0.842 0.647 0.118 Br
0.936 0.211 0.100 Br
```